No. 1
5
Lattice="4.464 0.000 0.000 0.000 4.464 0.000 0.000 0.000 4.763" Properties=species:S:1:pos:R:3 comment="TaCoPbS2 | Alexandria | GGA-PBE | relaxed" final_energy_ev_per_atom=-5.69 raw_formation_energy_mev_per_atom=495.2 pbc="T T T"
Ta 0.000 0.000 0.000
Co 0.000 0.000 2.381
Pb 2.232 2.232 0.000
S 0.000 2.232 2.381
S 2.232 0.000 2.381



No. 2
5
Lattice="5.111 0.000 0.000 0.000 5.111 0.000 0.000 0.000 6.247" Properties=species:S:1:pos:R:3 comment="YCoPbS2 | Alexandria | GGA-PBE | relaxed" final_energy_ev_per_atom=-4.65 raw_formation_energy_mev_per_atom=452.1 pbc="T T T"
Y 0.000 0.000 0.000
Co 2.555 2.555 3.124
Pb 0.000 0.000 3.124
S 0.000 2.555 0.000
S 2.555 0.000 0.000



No. 3
4
Lattice="3.692 0.000 0.000 0.000 3.942 0.000 -1.835 0.000 4.877" Properties=species:S:1:pos:R:3 comment="Co2SbPb | Alexandria | GGA-PBE | relaxed" final_energy_ev_per_atom=-5.29 raw_formation_energy_mev_per_atom=225.5 pbc="T T T"
Co 0.000 0.000 0.000
Co 0.010 1.971 1.356
Sb 0.011 1.971 4.253
Pb 1.857 0.000 2.150



No. 4
17
Lattice="-4.606 4.606 4.606 4.606 -4.606 4.606 4.606 4.606 -4.606" Properties=species:S:1:pos:R:3 comment="Co4Sb12Pb | Alexandria | GGA-PBE | relaxed" final_energy_ev_per_atom=-4.93 raw_formation_energy_mev_per_atom=-126.0 pbc="T T T"
Co 2.303 2.303 -2.303
Co 2.303 -2.303 2.303
Co -2.303 2.303 2.303
Co 2.303 2.303 2.303
Sb 3.071 1.477 0.000
Sb 6.140 1.477 0.000
Sb 4.606 -1.535 3.128
Sb 3.128 4.606 -1.535
Sb 1.477 0.000 3.071
Sb 0.000 3.071 1.477
Sb 4.606 1.535 3.128
Sb 3.128 4.606 1.535
Sb 1.477 0.000 6.140
Sb 0.000 6.140 1.477
Sb -1.535 3.128 4.606
Sb 1.535 3.128 4.606
Pb 0.000 0.000 0.000



No. 5
5
Lattice="-2.313 2.313 4.867 2.313 -2.313 4.867 2.313 2.313 -4.867" Properties=species:S:1:pos:R:3 comment="Co2Sb2Pb | Alexandria | GGA-PBE | relaxed" final_energy_ev_per_atom=-4.93 raw_formation_energy_mev_per_atom=299.8 pbc="T T T"
Co 0.000 0.000 1.174
Co 0.000 0.000 8.561
Sb 2.313 0.000 2.434
Sb 0.000 2.313 2.434
Pb 0.000 0.000 4.867



No. 6
4
Lattice="4.211 -1.613 0.000 4.211 1.613 0.000 -3.656 0.000 5.900" Properties=species:S:1:pos:R:3 comment="Co2SbPb | Alexandria | GGA-PBE | relaxed" final_energy_ev_per_atom=-5.18 raw_formation_energy_mev_per_atom=332.2 pbc="T T T"
Co 0.593 0.000 2.069
Co 4.173 0.000 3.831
Sb -1.828 0.000 2.950
Pb 4.211 0.000 0.000



No. 7
6
Lattice="0.000 4.401 4.401 4.401 0.000 4.401 4.401 4.401 0.000" Properties=species:S:1:pos:R:3 comment="CoSb4Pb | Alexandria | GGA-PBE | relaxed" final_energy_ev_per_atom=-3.88 raw_formation_energy_mev_per_atom=673.8 pbc="T T T"
Co 0.000 0.000 0.000
Sb 3.296 3.296 3.296
Sb 5.506 5.506 3.296
Sb 5.506 3.296 5.506
Sb 3.296 5.506 5.506
Pb 6.601 6.601 6.601



No. 8
5
Lattice="-2.178 2.178 5.565 2.178 -2.178 5.565 2.178 2.178 -5.565" Properties=species:S:1:pos:R:3 comment="Co2Sb2Pb | Alexandria | GGA-PBE | relaxed" final_energy_ev_per_atom=-5.10 raw_formation_energy_mev_per_atom=137.3 pbc="T T T"
Co 2.178 0.000 2.782
Co 0.000 2.178 2.782
Sb 0.000 0.000 1.546
Sb 0.000 0.000 9.584
Pb 0.000 0.000 5.565



No. 9
5
Lattice="5.057 0.000 0.000 0.000 5.057 0.000 0.000 0.000 5.057" Properties=species:S:1:pos:R:3 comment="CoSb3Pb | Alexandria | GGA-PBE | relaxed" final_energy_ev_per_atom=-4.35 raw_formation_energy_mev_per_atom=287.3 pbc="T T T"
Co 0.000 0.000 0.000
Sb 0.000 0.000 2.528
Sb 0.000 2.528 0.000
Sb 2.528 0.000 0.000
Pb 2.528 2.528 2.528



No. 10
4
Lattice="3.616 0.000 0.000 0.000 3.630 0.000 0.000 0.000 5.320" Properties=species:S:1:pos:R:3 comment="Co2SbPb | Alexandria | GGA-PBE | relaxed" final_energy_ev_per_atom=-5.17 raw_formation_energy_mev_per_atom=341.2 pbc="T T T"
Co 0.000 0.000 0.000
Co 1.808 1.815 1.841
Sb 1.808 1.815 4.648
Pb 0.000 0.000 2.605



No. 11
10
Lattice="7.797 0.000 0.000 0.000 7.797 0.000 0.000 0.000 3.172" Properties=species:S:1:pos:R:3 comment="Co2Sb2Pb | Alexandria | GGA-PBE | relaxed" final_energy_ev_per_atom=-4.98 raw_formation_energy_mev_per_atom=257.3 pbc="T T T"
Co 0.985 2.914 0.000
Co 2.914 6.812 0.000
Co 4.883 0.985 0.000
Co 6.812 4.883 0.000
Sb 1.167 5.066 1.586
Sb 2.731 1.167 1.586
Sb 5.066 6.630 1.586
Sb 6.630 2.731 1.586
Pb 0.000 0.000 0.000
Pb 3.899 3.899 0.000



No. 12
4
Lattice="1.986 1.147 6.184 -1.986 1.147 6.184 0.000 -2.293 6.184" Properties=species:S:1:pos:R:3 comment="Co2SbPb | Alexandria | GGA-PBE | relaxed" final_energy_ev_per_atom=-5.34 raw_formation_energy_mev_per_atom=168.8 pbc="T T T"
Co 0.000 0.000 0.000
Co 0.000 0.000 6.024
Sb 0.000 0.000 10.845
Pb 0.000 0.000 14.203